Record 1
CuC2 (GGA-PBE, relaxed); E_form = 0.886 eV per atom; distance to the lowest polymorph of the same formula = 1.96 eV per formula unit; M_tot = 0.000 μB/cell; calculated volume = 10.13 Å³ per atom; final energy = -6.63 eV/atom; mass density = 4.8 g/cm³
1.0
3.095 0.000 0.000
0.000 4.589 0.000
0.000 0.000 8.561
Cu C
4 8
Cartesian
0.774 1.074 0.239
2.321 1.220 4.520
2.321 3.515 8.321
0.774 3.369 4.041
0.774 1.840 6.947
0.774 3.213 6.942
2.321 1.376 1.619
0.774 4.134 5.893
2.321 3.671 2.661
2.321 2.750 1.613
0.774 0.918 5.899
2.321 0.455 2.667


Record 2
Cu2C3 (GGA-PBE, relaxed); E_form = 0.927 eV per atom; distance to the lowest polymorph of the same formula = 0.14 eV per formula unit; M_tot = 0.000 μB/cell; calculated volume = 10.41 Å³ per atom; final energy = -6.25 eV/atom; mass density = 5.2 g/cm³
1.0
0.000 4.906 6.978
1.520 0.000 6.978
1.520 4.906 0.000
Cu C
4 6
Cartesian
1.369 7.234 5.879
1.369 2.578 8.077
2.129 4.781 4.588
2.129 5.032 9.368
0.585 2.453 3.489
0.619 1.356 2.762
1.379 8.715 7.705
1.379 1.098 6.251
0.619 3.551 4.216
2.866 4.906 6.978


Record 3
Cu4C3 (GGA-PBE, relaxed); E_form = 1.739 eV per atom; distance to the lowest polymorph of the same formula = 2.59 eV per formula unit; M_tot = 0.000 μB/cell; calculated volume = 9.63 Å³ per atom; final energy = -4.55 eV/atom; mass density = 7.1 g/cm³
1.0
2.026 -3.509 0.000
2.026 3.509 0.000
0.000 0.000 4.743
C Cu
3 4
Cartesian
1.013 -1.755 0.000
1.013 1.755 0.000
2.026 0.000 0.000
2.026 -1.170 2.371
0.000 0.000 1.188
0.000 0.000 3.555
2.026 1.170 2.371


Record 4
Cu2C (GGA-PBE, relaxed); E_form = 1.139 eV per atom; distance to the lowest polymorph of the same formula = 1.42 eV per formula unit; M_tot = 0.000 μB/cell; calculated volume = 10.48 Å³ per atom; final energy = -4.67 eV/atom; mass density = 7.3 g/cm³
1.0
1.355 -5.213 0.000
1.355 5.213 0.000
0.000 0.000 4.452
Cu C
4 2
Cartesian
1.355 0.712 1.113
1.355 -0.712 3.339
1.355 -2.215 1.113
1.355 2.215 3.339
1.355 -4.418 3.339
1.355 4.418 1.113


Record 5
CuC2 (GGA-PBE, relaxed); E_form = 0.994 eV per atom; distance to the lowest polymorph of the same formula = 2.28 eV per formula unit; M_tot = 0.000 μB/cell; calculated volume = 11.74 Å³ per atom; final energy = -6.52 eV/atom; mass density = 4.1 g/cm³
1.0
1.243 -4.126 0.000
1.243 4.126 0.000
0.000 0.000 6.866
C Cu
4 2
Cartesian
1.243 -2.925 5.149
1.243 2.925 1.716
1.243 -0.607 1.716
1.243 0.607 5.149
1.243 -2.966 1.716
1.243 2.966 5.149


Record 6
CuC2 (GGA-PBE, relaxed); E_form = 1.285 eV per atom; distance to the lowest polymorph of the same formula = 3.15 eV per formula unit; M_tot = 0.000 μB/cell; calculated volume = 11.14 Å³ per atom; final energy = -6.23 eV/atom; mass density = 4.4 g/cm³
1.0
-1.854 -0.182 3.377
-0.809 3.738 0.498
-0.854 -2.843 -2.462
Cu C
1 2
Cartesian
0.000 0.000 0.000
-1.770 -0.601 -0.665
-1.747 1.314 2.078


Record 7
CuC2 (GGA-PBE, relaxed); E_form = 1.926 eV per atom; distance to the lowest polymorph of the same formula = 5.08 eV per formula unit; M_tot = 0.000 μB/cell; calculated volume = 10.48 Å³ per atom; final energy = -5.59 eV/atom; mass density = 4.6 g/cm³
1.0
-1.096 -3.935 0.379
1.235 2.111 3.293
-8.150 2.415 1.507
C Cu
8 4
Cartesian
-4.075 1.207 0.753
-5.145 3.230 4.090
-2.056 -1.253 3.251
-5.864 0.647 4.338
0.000 0.000 0.000
-2.866 -2.639 1.089
-5.955 1.844 1.928
-2.147 -0.056 0.841
-6.897 2.275 3.682
-3.599 -0.948 1.957
-4.412 1.539 3.222
-1.114 -1.684 1.497


Record 8
Cu5C4 (GGA-PBE, relaxed); E_form = 1.518 eV per atom; distance to the lowest polymorph of the same formula = 4.28 eV per formula unit; M_tot = 0.000 μB/cell; calculated volume = 9.78 Å³ per atom; final energy = -4.86 eV/atom; mass density = 6.9 g/cm³
1.0
-2.984 -4.771 -1.197
5.079 -0.379 2.676
-2.833 0.409 5.436
C Cu
8 10
Cartesian
-1.277 -1.777 4.675
-1.417 0.204 2.718
-3.902 -2.534 3.364
0.539 -2.964 2.240
0.000 0.000 0.000
-1.916 -1.828 0.875
0.899 0.081 5.670
1.347 -0.051 2.442
-1.713 -3.103 2.812
2.391 -1.843 1.385
-0.808 0.208 4.771
3.054 -0.179 3.341
-0.296 -3.307 0.094
-0.165 -1.233 1.742
-2.898 -0.930 3.767
0.975 -1.639 4.103
-0.573 -3.509 5.173
-2.919 -3.432 0.472


Record 9
Cu2C (GGA-PBE, relaxed); E_form = 1.162 eV per atom; distance to the lowest polymorph of the same formula = 1.49 eV per formula unit; M_tot = 0.000 μB/cell; calculated volume = 9.93 Å³ per atom; final energy = -4.64 eV/atom; mass density = 7.8 g/cm³
1.0
-2.684 3.091 2.397
-4.631 0.290 0.984
3.926 -2.659 -0.142
Cu C
2 1
Cartesian
-6.289 2.907 2.907
-1.025 0.474 0.474
-3.657 1.691 1.691


Record 10
Cu3C4 (GGA-PBE, relaxed); E_form = 1.694 eV per atom; distance to the lowest polymorph of the same formula = 3.95 eV per formula unit; M_tot = 0.000 μB/cell; calculated volume = 8.97 Å³ per atom; final energy = -5.33 eV/atom; mass density = 6.3 g/cm³
1.0
10.289 -1.151 3.594
8.690 -1.030 6.598
-9.669 -0.602 -5.124
C Cu
4 3
Cartesian
1.827 -0.210 0.981
17.151 -1.971 9.211
11.553 -1.328 6.205
7.425 -0.853 3.988
5.587 -0.642 3.001
13.391 -1.539 7.192
0.000 0.000 0.000


Record 11
CuC2 (GGA-PBE, relaxed); E_form = 1.382 eV per atom; distance to the lowest polymorph of the same formula = 3.44 eV per formula unit; M_tot = 0.000 μB/cell; calculated volume = 12.36 Å³ per atom; final energy = -6.13 eV/atom; mass density = 3.9 g/cm³
1.0
-0.263 -3.034 2.958
-0.003 -4.242 -0.175
2.706 -2.971 1.370
Cu C
1 2
Cartesian
2.259 -9.485 3.845
1.579 -6.631 2.688
1.856 -7.794 3.159


Record 12
Cu5C (GGA-PBE, relaxed); E_form = 1.090 eV per atom; distance to the lowest polymorph of the same formula = 3.67 eV per formula unit; M_tot = 0.000 μB/cell; calculated volume = 12.25 Å³ per atom; final energy = -3.86 eV/atom; mass density = 7.5 g/cm³
1.0
-4.530 -1.253 -0.131
-2.894 1.281 3.476
-3.315 3.243 -0.775
Cu C
5 1
Cartesian
-2.685 0.818 0.643
-5.054 0.422 1.994
-4.447 2.671 1.672
-6.712 2.044 1.607
-5.264 1.404 -0.132
0.000 0.000 0.000